Compound: Ca2CoSiCl
Source: Alexandria
Functional: GGA-PBE
Structure: relaxed

Values from the calculation:
Calculated density: 2.7 g cm⁻³
E: -4.33 eV per atom

Structure (extended XYZ):
```
5
Lattice="-0.825 3.212 -4.269 1.096 -3.154 -2.585 -5.155 -1.614 -0.218" Properties=species:S:1:pos:R:3 pbc="T T T"
Si 0.548 -1.577 -1.292
Co 0.000 0.000 0.000
Ca -2.578 -0.807 -0.109
Ca -0.413 1.606 -2.135
Cl -2.442 -0.778 -3.536
```